No. 1
Tb2Pr3Sm after structural relaxation. Source: Alexandria, functional PBE.

Results
The calculation puts the energy above the most stable polymorph in this dataset at 29.35 kJ per mole of atoms. Its symmetry is Immm, No. 71. The value obtained for the calculated volume is 210.0 Å³/cell. The total moment comes out at 0.0 μB/f.u.

```
Tb2Pr3Sm
1.0
-0.661 -1.403 -3.164
5.559 -2.309 -0.137
-5.768 -6.393 6.002
Sm Pr Tb
1 3 2
direct
0.000 0.000 0.000
0.000 0.500 0.000
0.810 0.810 0.621
0.190 0.190 0.379
0.637 0.637 0.275
0.363 0.363 0.725
```



No. 2
TbPr6Sm3 after structural relaxation. Source: Alexandria, functional PBE.

Results
For the raw total energy, the calculation gives -46.14 eV per formula unit. Its symmetry is Cmc2_1, No. 36. The value obtained for the calculated volume is 704.7 Å³/cell. The total moment comes out at 0.0 μB/f.u.

```
TbPr6Sm3
1.0
-5.483 -3.182 -1.590
3.217 -8.690 6.297
-6.096 8.314 4.384
Pr Sm Tb
12 6 2
direct
0.152 0.720 0.280
0.652 0.280 0.720
0.869 0.476 0.059
0.056 0.370 0.290
0.861 0.034 0.966
0.361 0.966 0.034
0.556 0.290 0.370
0.556 0.630 0.710
0.056 0.710 0.630
0.369 0.524 0.941
0.869 0.941 0.524
0.369 0.059 0.476
0.962 0.709 0.943
0.585 0.617 0.383
0.085 0.383 0.617
0.462 0.291 0.057
0.462 0.943 0.709
0.962 0.057 0.291
0.111 0.192 0.808
0.611 0.808 0.192
```